First-principles (GGA-PBE) data for a relaxed Cu3Pd2Au3 crystal, as listed in Alexandria.

Unit cell a=3.7336 b=4.0575 c=16.0712 alpha=90.00 beta=90.00 gamma=90.00
Last column: nearest neighbours and their distance in Å.
Space group Immm (No. 71)
Inequivalent atoms, fractional coordinates:
Cu: 0.0000 0.0000 0.0000 x2  8 Au 2.72-2.76, 4 Cu 2.88
Cu: 0.0000 0.5000 0.1276 x4  4 Pd 2.68-2.86, 6 Au 2.76-2.77, 2 Cu 2.88
Pd: 0.0000 0.0000 0.2530 x4  4 Cu 2.68-2.86, 4 Pd 2.76, 4 Au 2.80-2.84
Au: 0.0000 0.0000 0.5000 x2  8 Cu 2.76-2.77, 4 Au 2.84
Au: 0.0000 0.5000 0.3768 x4  6 Cu 2.72-2.76, 4 Pd 2.80-2.84, 2 Au 2.84

Output
The value obtained for the total energy is -4.138 eV per atom. The value obtained for the total magnetization is 0.000 Bohr magnetons per cell.